(1)
# Pm2MnSi3Ir4

A relaxed structure of Pm2MnSi3Ir4 (GGA-PBE, Alexandria via LeMat-Bulk).

Cell: 4.131 4.131 10.205 Å, 90.00 90.00 90.00°
Each line ends with the local moment (μB).
Atoms (fractional coordinates):
Pm  0.500  0.000  0.250  -0.01
Pm  0.000  0.500  0.750  -0.01
Mn  0.500  0.500  0.500  3.07
Si  0.000  0.000  0.500  -0.04
Si  0.500  0.000  0.873  -0.01
Si  0.000  0.500  0.127  -0.01
Ir  0.500  0.500  0.000  0.01
Ir  0.000  0.000  0.000  -0.02
Ir  0.500  0.000  0.636  0.01
Ir  0.000  0.500  0.364  0.01

Summary:
Calculated density in kg/m³: 11422
Formation energy from raw total energies in eV/atom: -0.90
Raw total energy in eV/atom: -7.94


(2)
# Pm2MnSi4Ir3

A relaxed structure of Pm2MnSi4Ir3 (GGA-PBE, Alexandria via LeMat-Bulk).

Cell: 4.140 4.140 10.062 Å, 90.00 90.00 90.00°
Each line ends with the local moment (μB).
Atoms (fractional coordinates):
Pm  0.500  0.000  0.246  -0.01
Pm  0.000  0.500  0.754  -0.01
Mn  0.500  0.500  0.500  2.49
Si  0.500  0.500  0.000  0.01
Si  0.000  0.000  0.000  0.01
Si  0.500  0.000  0.632  -0.05
Si  0.000  0.500  0.368  -0.05
Ir  0.000  0.000  0.500  -0.06
Ir  0.500  0.000  0.875  0.01
Ir  0.000  0.500  0.125  0.01

Summary:
Calculated density in kg/m³: 9956
Formation energy from raw total energies in eV/atom: -0.90
Raw total energy in eV/atom: -7.60


(3)
# PrMnSi2Ir

A relaxed structure of PrMnSi2Ir (GGA-PBE, Alexandria via LeMat-Bulk).

Cell: 4.065 4.065 5.938 Å, 110.02 110.02 90.00°
Each line ends with the local moment (μB).
Atoms (fractional coordinates):
Pr  0.000  0.000  0.000  0.03
Mn  0.750  0.250  0.500  2.42
Si  0.623  0.623  0.245  -0.04
Si  0.377  0.377  0.755  -0.04
Ir  0.250  0.750  0.500  0.00

Summary:
Calculated density in kg/m³: 8593
Formation energy from raw total energies in eV/atom: -0.80
Raw total energy in eV/atom: -7.53


calculated density of number 3 (PrMnSi2Ir)?
8593 kg/m³


Number 2 is which compound?
Pm2MnSi4Ir3